Entry 1:
The following is a PBE-GGA calculation of a relaxed structure of CaYSe2N, from Alexandria.

Space-group type   P4/mmm (123)
VASP energy   -27.43 eV/cell

abc: 5.5282 5.5282 4.4099
angles: 90.00 90.00 90.00
With the nearest neighbours (Å) after each atom.
Element x y z (fractional)
Y: 0.0000 0.0000 0.0000  2 N 2.20
Ca: 0.5000 0.5000 0.5000  8 Se 3.54, 4 N 3.91
Se: 0.0000 0.5000 0.0000  2 Y 2.76
Se: 0.5000 0.0000 0.0000  2 Y 2.76
N: 0.0000 0.0000 0.5000  2 Y 2.20

---

Entry 2:
The following is a PBE-GGA calculation of a relaxed structure of ZrZnP, from Alexandria.

E_form   -0.379 eV/atom
Space-group type   Fmm2 (42)

abc: 5.5377 5.3147 3.2940
angles: 76.07 68.67 35.26
With the nearest neighbours (Å) after each atom.
Element x y z (fractional)
Zr: 0.6586 0.6586 0.3414  2 P 2.63, 2 Zn 2.78
Zn: 0.3503 0.3503 0.6497  2 P 2.47
P: 0.9911 0.9911 0.0089  2 Zn 2.47, 2 Zr 2.63

---

Entry 3:
The following is a PBE-GGA calculation of a relaxed structure of TlSn2Hg, from Alexandria.

E_form   0.063 eV/atom
Space-group type   P4/mmm (123)

abc: 3.8427 3.8427 7.6442
angles: 90.00 90.00 90.00
With the nearest neighbours (Å) after each atom.
Element x y z (fractional)
Tl: 0.5000 0.5000 0.5000  8 Sn 3.49, 2 Hg 3.82, 4 Tl 3.84
Hg: 0.5000 0.5000 0.0000  8 Sn 3.17
Sn: 0.0000 0.0000 0.7863  4 Hg 3.17, 1 Sn 3.27, 4 Tl 3.49
Sn: 0.0000 0.0000 0.2137  4 Hg 3.17, 1 Sn 3.27, 4 Tl 3.49

---

Entry 4:
The following is a PBE-GGA calculation of a relaxed structure of Ba2LiTaO6, from Alexandria.

Space-group type   P-3m1 (164)
VASP energy   -70.35 eV/cell

abc: 5.1318 5.7996 5.7996
angles: 120.00 90.00 90.00
With the nearest neighbours (Å) after each atom.
Element x y z (fractional)
Ba: 0.2037 0.3333 0.6667  12 O 2.92-3.26
Ba: 0.7963 0.6667 0.3333  12 O 2.92-3.26
Li: 0.0000 0.0000 0.0000  6 O 2.08
Ta: 0.5000 0.0000 0.0000  6 O 2.00
O: 0.7374 0.1577 0.3154  1 Ta 2.00, 1 Li 2.08
O: 0.7374 0.1577 0.8423  1 Ta 2.00, 1 Li 2.08
O: 0.7374 0.6846 0.8423  1 Ta 2.00, 1 Li 2.08
O: 0.2626 0.8423 0.1577  1 Ta 2.00, 1 Li 2.08
O: 0.2626 0.3154 0.1577  1 Ta 2.00, 1 Li 2.08
O: 0.2626 0.8423 0.6846  1 Ta 2.00, 1 Li 2.08

---

Entry 5:
The following is a PBE-GGA calculation of a relaxed structure of LiCu2ReTe, from Alexandria.

Space-group type   P4/mmm (123)
VASP energy   -19.45 eV/cell

abc: 4.6837 4.7939 4.6837
angles: 90.00 90.00 90.00
With the nearest neighbours (Å) after each atom.
Element x y z (fractional)
Re: 0.0000 0.0000 0.0000  4 Cu 2.34, 2 Li 2.40
Te: 0.5000 0.5000 0.5000  4 Li 3.31, 8 Cu 3.35
Cu: 0.0000 0.0000 0.5000  2 Re 2.34
Cu: 0.5000 0.0000 0.0000  2 Re 2.34
Li: 0.0000 0.5000 0.0000  2 Re 2.40

---

Entry 6:
The following is a PBE-GGA calculation of a relaxed structure of Sc2CuAu2, from Alexandria.

E_form   -0.342 eV/atom
Space-group type   P4/mbm (127)

abc: 7.6121 7.6121 3.4817
angles: 90.00 90.00 90.00
With the nearest neighbours (Å) after each atom.
Element x y z (fractional)
Sc: 0.3388 0.8388 0.0000  6 Au 2.79-2.86, 2 Cu 2.86
Sc: 0.8388 0.6612 0.0000  6 Au 2.79-2.86, 2 Cu 2.86
Sc: 0.6612 0.1612 0.0000  6 Au 2.79-2.86, 2 Cu 2.86
Sc: 0.1612 0.3388 0.0000  6 Au 2.79-2.86, 2 Cu 2.86
Au: 0.1365 0.6365 0.5000  6 Sc 2.79-2.86, 1 Au 2.94
Au: 0.6365 0.8635 0.5000  6 Sc 2.79-2.86, 1 Au 2.94
Au: 0.8635 0.3635 0.5000  6 Sc 2.79-2.86, 1 Au 2.94
Au: 0.3635 0.1365 0.5000  6 Sc 2.79-2.86, 1 Au 2.94
Cu: 0.0000 0.0000 0.0000  4 Sc 2.86
Cu: 0.5000 0.5000 0.0000  4 Sc 2.86

---

Number 1: D(E_F) 2.19 states/eV/f.u., magnetic moment 2.00 μB/f.u.. Number 2: D(E_F) 1.62 states/eV/f.u., magnetic moment 0.00 μB/f.u.. Number 3: D(E_F) 1.00 states/eV/f.u., magnetic moment 0.00 μB/f.u.. Number 4: D(E_F) 6.55 states/eV/f.u., magnetic moment 2.02 μB/f.u.. Number 5: D(E_F) 3.89 states/eV/f.u., magnetic moment 0.00 μB/f.u.. Number 6: D(E_F) 5.42 states/eV/f.u., magnetic moment 0.00 μB/f.u..